Hg2PH4Cl5: optimized geometry, PBE.

Geometry as CIF:
```
data_Hg2PH4Cl5
_space_group_name_H-M_alt 'A m m 2'
_space_group_IT_number 38
_space_group_name_Hall 'A 2 -2'
_cell_length_a 7.181
_cell_length_b 11.070
_cell_length_c 7.139
_cell_angle_alpha 90.00
_cell_angle_beta 90.00
_cell_angle_gamma 90.00
loop_
_atom_site_label
_atom_site_fract_x
_atom_site_fract_y
_atom_site_fract_z
Hg1 0.000 0.200 0.000
P1 0.500 0.000 0.395
H1 0.341 0.000 0.510
H2 0.500 0.105 0.283
Cl1 0.000 0.000 0.202
Cl2 0.248 0.197 0.732
```

Volume in Å³ per atom: 23.64
Magnetic moment in μB/cell: 0.00
Raw total energy in eV/atom: -2.789
Fermi-level density of states in states/eV per cell: 0.0